i) Entry from Alexandria via LeMat-Bulk: a geometry-optimized Y3ErTh structure (PBE).

Computed properties:
As for the crystal system: orthorhombic.

Cell lengths 3.4199, 6.3796, 16.2123 Å; angles 90.00, 90.00, 90.00 degrees
Closest atoms and distances in Å follow each position.
Space group Amm2 (No. 38)
Inequivalent atoms, fractional coordinates:
Y 0.0000 0.0000 0.0000 [2 per cell]  2 Er 3.29, 6 Y 3.42-3.47
Y 0.5000 0.2398 0.8391 [4 per cell]  4 Y 3.06-3.42, 1 Er 3.16
Er 0.5000 0.0000 0.1736 [2 per cell]  4 Y 3.16-3.29, 2 Er 3.42
Th 0.0000 0.0000 0.6500 [2 per cell]  2 Th 3.42, 4 Er 3.64, 4 Y 3.83



ii) Entry from Alexandria via LeMat-Bulk: a geometry-optimized Y3ErTh structure (PBE).

Computed properties:
As for the crystal system: triclinic.

Cell lengths 6.2589, 6.7604, 9.2249 Å; angles 108.20, 90.21, 117.55 degrees
Closest atoms and distances in Å follow each position.
Space group P-1 (No. 2)
Inequivalent atoms, fractional coordinates:
Y 0.0716 0.2991 0.0433 [2 per cell]  6 Y 3.52-3.73, 2 Th 3.54-3.55, 4 Er 3.56-3.62
Y 0.2623 0.7043 0.4460 [2 per cell]  6 Y 3.51-3.65, 4 Th 3.52-3.74, 2 Er 3.52-3.63
Y 0.3398 0.5012 0.7443 [2 per cell]  3 Er 3.51-3.67, 3 Th 3.51-3.61, 6 Y 3.54-3.73
Er 0.4636 0.0949 0.8494 [2 per cell]  9 Y 3.51-3.67, 1 Er 3.51, 2 Th 3.51-3.67
Th 0.1178 0.0953 0.3468 [2 per cell]  2 Er 3.51-3.67, 9 Y 3.51-3.74, 1 Th 3.52



Energies relative to the minimum, meV per atom: i) 404; ii) 0